No. 1
Material: Mn2AgMo
Method: DFT, GGA-PBE
State: optimized geometry

Output
Calculated formation energy: 584 meV per atom
E above lowest polymorph: 28.7 kJ/mol of atoms

Cell lengths 6.2259, 6.2259, 6.2259 Å; angles 90.00, 90.00, 90.00 degrees
With the nearest neighbours (Å) after each atom.
Space group F-43m (No. 216)
One atom of each set of equivalent atoms:
Mn 0.0000 0.0000 0.0000 (multiplicity 4)  4 Mn 2.70, 4 Ag 2.70
Mn 0.2500 0.2500 0.2500 (multiplicity 4)  4 Mn 2.70, 4 Mo 2.70
Ag 0.2500 0.2500 0.7500 (multiplicity 4)  4 Mn 2.70, 4 Mo 2.70
Mo 0.0000 0.0000 0.5000 (multiplicity 4)  4 Ag 2.70, 4 Mn 2.70

No. 2
Material: KSiTc2
Method: DFT, GGA-PBE
State: optimized geometry

Output
Formation energy without anion corrections: 0.382 eV/atom

Cell lengths 3.0048, 3.0048, 8.7447 Å; angles 90.00, 90.00, 90.00 degrees
With the nearest neighbours (Å) after each atom.
Space group P4mm (No. 99)
One atom of each set of equivalent atoms:
K 0.0000 0.0000 0.0000 (multiplicity 1)  4 K 3.00, 4 Si 3.36
Si 0.5000 0.5000 0.2971 (multiplicity 1)  4 Tc 2.69, 4 Si 3.00
Tc 0.0000 0.0000 0.4860 (multiplicity 1)  4 Tc 2.54, 4 Si 2.69
Tc 0.5000 0.5000 0.6448 (multiplicity 1)  4 Tc 2.54

No. 3
Material: Ac2DyTl5
Method: DFT, GGA-PBE
State: optimized geometry

Output
Calculated formation energy: -243 meV per atom

Cell lengths 5.6883, 5.6883, 15.5692 Å; angles 90.00, 90.00, 90.00 degrees
With the nearest neighbours (Å) after each atom.
Space group I4/mmm (No. 139)
One atom of each set of equivalent atoms:
Ac 0.0000 0.0000 0.2427 (multiplicity 4)  9 Tl 3.51-3.78
Dy 0.0000 0.0000 0.5000 (multiplicity 2)  8 Tl 3.32
Tl 0.0000 0.0000 0.0000 (multiplicity 2)  8 Tl 3.32
Tl 0.0000 0.5000 0.1104 (multiplicity 8)  2 Dy 3.32, 3 Tl 3.32-3.44, 4 Ac 3.51-3.65

No. 4
Material: LaSm8Sc2
Method: DFT, GGA-PBE
State: optimized geometry

Output
Calculated formation energy: 159 meV per atom
E above lowest polymorph: 3.3 kJ/mol of atoms

Cell lengths 8.9766, 16.1998, 5.8903 Å; angles 90.00, 122.77, 90.00 degrees
With the nearest neighbours (Å) after each atom.
Space group C2/m (No. 12)
One atom of each set of equivalent atoms:
La 0.0000 0.0000 0.0000 (multiplicity 2)  4 Sm 3.30-3.38
Sm 0.0000 0.2086 0.0000 (multiplicity 4)  2 Sc 3.37, 1 La 3.38, 6 Sm 3.52-3.68
Sm 0.0764 0.5000 0.7924 (multiplicity 4)  3 Sm 2.94-3.29
Sm 0.2196 0.1213 0.6769 (multiplicity 8)  5 Sm 3.29-3.64, 2 Sc 3.39-3.48
Sc 0.0000 0.3101 0.5000 (multiplicity 4)  8 Sm 3.37-3.48

| no. | E (eV/atom) | calculated density (g/cm3) | total moment (μB/atom) |
| --- | --- | --- | --- |
| 1 | -7.42 | 8.63 | 1.179 |
| 2 | -6.43 | 5.54 | 0.001 |
| 3 | -3.32 | 10.80 | 0.001 |
| 4 | -4.87 | 6.60 | 0.000 |